PBE VCoPt, optimized geometry; energy relative to the elements = -0.26 eV/atom; space-group type = P4/nmm (129); total DFT energy (no corrections) = -7.683 eV/atom
1.0
-1.8765 -1.8198 -0.6096
1.9187 -1.7814 -0.5885
1.8985 -5.2549 9.8425
V Co Pt
2 2 2
Direct
0.7163 0.6833 0.8779
0.2160 0.7328 0.3292
0.7163 0.3882 0.1731
0.2163 0.0281 0.0340
0.7160 0.0596 0.5018
0.2163 0.3563 0.7054